1.
Ac6Ni2HI3: relaxed, PBE.

Cell: 7.470 12.933 8.901 Å, 90.00 106.29 90.00°
Space group C2/m (No. 12)
Unique sites:
1 Ac 0.222 0.000 0.185 [4 per cell]
2 Ac 0.231 0.330 0.185 [8 per cell]
3 Ni 0.000 0.166 0.000 [4 per cell]
4 H 0.000 0.500 0.000 [2 per cell]
5 I 0.000 0.000 0.500 [2 per cell]
6 I 0.000 0.331 0.500 [4 per cell]

Properties
As for the total energy: -104.16 eV for the cell shown.


2.
AcHI2O8: relaxed, PBE.

Cell: 11.862 5.013 6.712 Å, 90.00 113.21 90.00°
Space group C2/m (No. 12)
Unique sites:
1 Ac 0.000 0.000 0.000 [2 per cell]
2 H 0.000 0.500 0.500 [2 per cell]
3 I 0.194 0.000 0.662 [4 per cell]
4 O 0.065 0.500 0.079 [4 per cell]
5 O 0.094 0.262 0.690 [8 per cell]
6 O 0.172 0.000 0.373 [4 per cell]

Properties
As for the total energy: -115.96 eV for the cell shown.


3.
AcHIO2: relaxed, PBE.

Cell: 5.625 4.066 9.562 Å, 90.00 90.93 90.00°
Space group P2_1/m (No. 11)
Unique sites:
1 Ac 0.227 0.250 0.388 [2 per cell]
2 H 0.319 0.250 0.664 [2 per cell]
3 I 0.250 0.750 0.998 [2 per cell]
4 O 0.007 0.250 0.609 [2 per cell]
5 O 0.480 0.250 0.622 [2 per cell]

Properties
As for the total energy: -56.66 eV for the cell shown.


4.
Ac4HOsI2: relaxed, PBE.

Cell: 7.247 4.331 8.987 Å, 90.00 105.67 90.00°
Space group P2/m (No. 10)
Unique sites:
1 Ac 0.234 0.000 0.182 [2 per cell]
2 Ac 0.266 0.500 0.811 [2 per cell]
3 H 0.500 0.000 0.000 [1 per cell]
4 Os 0.000 0.500 0.000 [1 per cell]
5 I 0.000 0.000 0.500 [1 per cell]
6 I 0.500 0.500 0.500 [1 per cell]

Properties
As for the total energy: -39.19 eV for the cell shown.


5.
Ac6HOs2I3: relaxed, PBE.

Cell: 7.491 12.980 9.014 Å, 90.00 106.11 90.00°
Space group C2/m (No. 12)
Unique sites:
1 Ac 0.220 0.000 0.185 [4 per cell]
2 Ac 0.232 0.329 0.185 [8 per cell]
3 H 0.000 0.500 0.000 [2 per cell]
4 Os 0.000 0.166 0.000 [4 per cell]
5 I 0.000 0.000 0.500 [2 per cell]
6 I 0.000 0.330 0.500 [4 per cell]

Properties
As for the total energy: -126.38 eV for the cell shown.


6.
Ac2PH2I: relaxed, PBE.

Cell: 4.3177 4.3177 8.8790 Å, 90.00 90.00 120.00°
Space group P-3m1 (No. 164)
Unique sites:
1 Ac 0.3333 0.6667 0.2063 [2 per cell]
2 P 0.0000 0.0000 0.0000 [1 per cell]
3 H 0.3333 0.6667 0.7579 [2 per cell]
4 I 0.0000 0.0000 0.5000 [1 per cell]

Properties
As for the total energy: -28.65 eV for the cell shown.


7.
Ac8HPt3I4: relaxed, PBE.

Cell: 15.358 8.846 10.028 Å, 90.00 120.76 90.00°
Space group C2/m (No. 12)
Unique sites:
1 Ac 0.021 0.249 0.314 [8 per cell]
2 Ac 0.228 0.500 0.685 [4 per cell]
3 Ac 0.229 0.000 0.687 [4 per cell]
4 H 0.000 0.000 0.500 [2 per cell]
5 Pt 0.000 0.500 0.500 [2 per cell]
6 Pt 0.250 0.250 0.500 [4 per cell]
7 I 0.000 0.000 0.000 [2 per cell]
8 I 0.000 0.500 0.000 [2 per cell]
9 I 0.250 0.250 0.000 [4 per cell]

Properties
As for the total energy: -154.03 eV for the cell shown.


8.
Ac8HRh3I3: relaxed, PBE.

Cell: 8.686 8.689 9.872 Å, 64.10 64.08 60.19°
Space group P-1 (No. 2)
Unique sites:
1 Ac 0.224 0.232 0.312 [2 per cell]
2 Ac 0.229 0.729 0.312 [2 per cell]
3 Ac 0.267 0.277 0.689 [2 per cell]
4 Ac 0.271 0.772 0.686 [2 per cell]
5 H 0.500 0.000 0.500 [1 per cell]
6 Rh 0.000 0.000 0.500 [1 per cell]
7 Rh 0.000 0.500 0.500 [1 per cell]
8 Rh 0.500 0.500 0.500 [1 per cell]
9 I 0.000 0.000 0.000 [1 per cell]
10 I 0.500 0.000 0.000 [1 per cell]
11 I 0.500 0.500 0.000 [1 per cell]

Properties
As for the total energy: -74.58 eV for the cell shown.


9.
Ac6HRh2I3: relaxed, PBE.

Cell: 7.514 12.993 9.027 Å, 90.00 106.17 90.00°
Space group C2/m (No. 12)
Unique sites:
1 Ac 0.224 0.000 0.185 [4 per cell]
2 Ac 0.230 0.332 0.184 [8 per cell]
3 H 0.000 0.500 0.000 [2 per cell]
4 Rh 0.000 0.166 0.000 [4 per cell]
5 I 0.000 0.000 0.500 [2 per cell]
6 I 0.000 0.331 0.500 [4 per cell]

Properties
As for the total energy: -115.46 eV for the cell shown.


10.
Ac8HRu3I3: relaxed, PBE.

Cell: 14.887 8.581 10.022 Å, 90.00 119.76 90.00°
Space group C2/m (No. 12)
Unique sites:
1 Ac 0.024 0.246 0.318 [8 per cell]
2 Ac 0.230 0.000 0.689 [4 per cell]
3 Ac 0.230 0.500 0.681 [4 per cell]
4 H 0.000 0.500 0.500 [2 per cell]
5 Ru 0.000 0.000 0.500 [2 per cell]
6 Ru 0.250 0.250 0.500 [4 per cell]
7 I 0.000 0.500 0.000 [2 per cell]
8 I 0.250 0.250 0.000 [4 per cell]

Properties
As for the total energy: -154.41 eV for the cell shown.


11.
Ac8HRu3I4: relaxed, PBE.

Cell: 14.900 8.589 10.017 Å, 90.00 119.79 90.00°
Space group C2/m (No. 12)
Unique sites:
1 Ac 0.024 0.246 0.317 [8 per cell]
2 Ac 0.229 0.000 0.688 [4 per cell]
3 Ac 0.230 0.500 0.683 [4 per cell]
4 H 0.000 0.500 0.500 [2 per cell]
5 Ru 0.000 0.000 0.500 [2 per cell]
6 Ru 0.250 0.250 0.500 [4 per cell]
7 I 0.000 0.000 0.000 [2 per cell]
8 I 0.000 0.500 0.000 [2 per cell]
9 I 0.250 0.250 0.000 [4 per cell]

Properties
As for the total energy: -163.59 eV for the cell shown.


12.
Ac4HRuI2: relaxed, PBE.

Cell: 7.237 4.272 9.000 Å, 90.00 105.35 90.00°
Space group P2/m (No. 10)
Unique sites:
1 Ac 0.234 0.000 0.190 [2 per cell]
2 Ac 0.263 0.500 0.819 [2 per cell]
3 H 0.000 0.500 0.000 [1 per cell]
4 Ru 0.500 0.000 0.000 [1 per cell]
5 I 0.000 0.000 0.500 [1 per cell]
6 I 0.500 0.500 0.500 [1 per cell]

Properties
As for the total energy: -37.62 eV for the cell shown.


13.
Ac2H2SI: relaxed, PBE.

Cell: 4.2389 4.2389 9.0493 Å, 90.00 90.00 120.00°
Space group P-3m1 (No. 164)
Unique sites:
1 Ac 0.3333 0.6667 0.2022 [2 per cell]
2 H 0.3333 0.6667 0.7614 [2 per cell]
3 S 0.0000 0.0000 0.0000 [1 per cell]
4 I 0.0000 0.0000 0.5000 [1 per cell]

Properties
As for the total energy: -28.05 eV for the cell shown.


14.
Ac2SbH2I: relaxed, PBE.

Cell: 4.4292 4.4292 9.3129 Å, 90.00 90.00 120.00°
Space group P-3m1 (No. 164)
Unique sites:
1 Ac 0.3333 0.6667 0.2255 [2 per cell]
2 Sb 0.0000 0.0000 0.0000 [1 per cell]
3 H 0.3333 0.6667 0.7439 [2 per cell]
4 I 0.0000 0.0000 0.5000 [1 per cell]

Properties
As for the total energy: -26.55 eV for the cell shown.


15.
Ac8Si3HI3: relaxed, PBE.

Cell: 15.670 9.037 9.490 Å, 90.00 123.44 90.00°
Space group C2/m (No. 12)
Unique sites:
1 Ac 0.016 0.241 0.289 [8 per cell]
2 Ac 0.236 0.000 0.707 [4 per cell]
3 Ac 0.243 0.500 0.711 [4 per cell]
4 Si 0.000 0.000 0.500 [2 per cell]
5 Si 0.250 0.250 0.500 [4 per cell]
6 H 0.000 0.500 0.500 [2 per cell]
7 I 0.000 0.500 0.000 [2 per cell]
8 I 0.250 0.250 0.000 [4 per cell]

Properties
As for the total energy: -133.57 eV for the cell shown.


16.
Ac6Si2HI3: relaxed, PBE.

Cell: 7.699 13.283 8.592 Å, 90.00 107.72 90.00°
Space group C2/m (No. 12)
Unique sites:
1 Ac 0.227 0.162 0.195 [8 per cell]
2 Ac 0.236 0.500 0.207 [4 per cell]
3 Si 0.000 0.334 0.000 [4 per cell]
4 H 0.000 0.000 0.000 [2 per cell]
5 I 0.000 0.178 0.500 [4 per cell]
6 I 0.000 0.500 0.500 [2 per cell]

Properties
As for the total energy: -105.13 eV for the cell shown.


17.
Ac8Si3HI4: relaxed, PBE.

Cell: 8.9596 8.9596 24.6133 Å, 90.00 90.00 120.00°
Space group R-3m (No. 166, hexagonal axes)
Unique sites:
1 Ac 0.0000 0.0000 0.2340 [6 per cell]
2 Ac 0.0045 0.5022 0.2325 [18 per cell]
3 Si 0.0000 0.5000 0.5000 [9 per cell]
4 H 0.0000 0.0000 0.5000 [3 per cell]
5 I 0.0000 0.0000 0.0000 [3 per cell]
6 I 0.0000 0.5000 0.0000 [9 per cell]

Properties
As for the total energy: -214.33 eV for the cell shown.


18.
Ac4SiHI2: relaxed, PBE.

Cell: 7.554 4.331 8.622 Å, 90.00 105.57 90.00°
Space group P2/m (No. 10)
Unique sites:
1 Ac 0.223 0.000 0.197 [2 per cell]
2 Ac 0.248 0.500 0.812 [2 per cell]
3 Si 0.500 0.000 0.000 [1 per cell]
4 H 0.000 0.500 0.000 [1 per cell]
5 I 0.000 0.000 0.500 [1 per cell]
6 I 0.500 0.500 0.500 [1 per cell]

Properties
As for the total energy: -33.91 eV for the cell shown.